Density functional theory data (GGA-PBE) for a geometry-optimized Ba2Sn2Sb structure.

Values from the calculation:
- Spin magnetization: 0.0 μB per cell
- Formation energy from raw total energies: -0.620 eV per atom
- Crystal system: tetragonal
- VASP energy: -38.15 eV for the cell shown

Cell and atoms, written as CIF:
```
data_Ba2Sn2Sb
_cell_length_a 8.430
_cell_length_b 8.430
_cell_length_c 5.202
_cell_angle_alpha 90.00
_cell_angle_beta 90.00
_cell_angle_gamma 90.00
_space_group_name_H-M_alt 'P 4/m b m'
_space_group_IT_number 127
_space_group_name_Hall '-P 4 2ab'
loop_
_atom_site_label
_atom_site_fract_x
_atom_site_fract_y
_atom_site_fract_z
Ba1 0.178 0.322 0.000
Sn1 0.123 0.623 0.500
Sb1 0.000 0.000 0.500
```

Density functional theory data (GGA-PBE) for a geometry-optimized BaLi2Pm structure.

Values from the calculation:
- DFT formation energy: 0.1585 eV/atom
- Spin magnetization: 0.7 μB per cell
- Crystal system: tetragonal
- VASP energy: -9.87 eV for the cell shown

Cell and atoms, written as CIF:
```
data_BaLi2Pm
_cell_length_a 4.039
_cell_length_b 4.039
_cell_length_c 8.328
_cell_angle_alpha 90.00
_cell_angle_beta 90.00
_cell_angle_gamma 90.00
_space_group_name_H-M_alt 'P 4/m m m'
_space_group_IT_number 123
_space_group_name_Hall '-P 4 2'
loop_
_atom_site_label
_atom_site_fract_x
_atom_site_fract_y
_atom_site_fract_z
Ba1 0.000 0.000 0.000
Li1 0.500 0.500 0.290
Pm1 0.000 0.000 0.500
```

Density functional theory data (GGA-PBE) for a geometry-optimized LaMoP2Se structure.

Values from the calculation:
- Spin magnetization: 0.0 μB per cell
- Formation energy from raw total energies: -0.337 eV per atom
- Crystal system: tetragonal
- VASP energy: -31.75 eV for the cell shown

Cell and atoms, written as CIF:
```
data_LaMoP2Se
_cell_length_a 4.558
_cell_length_b 4.558
_cell_length_c 6.051
_cell_angle_alpha 90.00
_cell_angle_beta 90.00
_cell_angle_gamma 90.00
_space_group_name_H-M_alt 'P 4/m m m'
_space_group_IT_number 123
_space_group_name_Hall '-P 4 2'
loop_
_atom_site_label
_atom_site_fract_x
_atom_site_fract_y
_atom_site_fract_z
La1 0.000 0.000 0.000
Mo1 0.000 0.000 0.500
P1 0.000 0.500 0.500
Se1 0.500 0.500 0.000
```

Density functional theory data (GGA-PBE) for a geometry-optimized Pr2CuPt3 structure.

Values from the calculation:
- DFT formation energy: -0.8393 eV/atom
- Spin magnetization: 0.0 μB per cell
- Crystal system: orthorhombic
- VASP energy: -294.51 eV for the cell shown

Cell and atoms, written as CIF:
```
data_Pr2CuPt3
_cell_length_a 7.678
_cell_length_b 8.796
_cell_length_c 15.652
_cell_angle_alpha 90.00
_cell_angle_beta 90.00
_cell_angle_gamma 90.00
_space_group_name_H-M_alt 'F m m m'
_space_group_IT_number 69
_space_group_name_Hall '-F 2 2'
loop_
_atom_site_label
_atom_site_fract_x
_atom_site_fract_y
_atom_site_fract_z
Pr1 0.249 0.000 0.000
Pr2 0.250 0.250 0.250
Cu1 0.000 0.000 0.333
Pt1 0.000 0.000 0.174
Pt2 0.000 0.244 0.415
```